## Be4FePb (PBE)

Data for Be4FePb after structural relaxation.

Structure (CIF):
```
data_Be4FePb
_cell_length_a 4.5085
_cell_length_b 4.5085
_cell_length_c 4.5085
_cell_angle_alpha 60.00
_cell_angle_beta 60.00
_cell_angle_gamma 60.00
_space_group_name_H-M_alt 'P 1'
_space_group_IT_number 1
loop_
_space_group_symop_operation_xyz
'x,y,z'
loop_
_atom_site_label
_atom_site_fract_x
_atom_site_fract_y
_atom_site_fract_z
Be1 0.1222 0.1222 0.1222
Be2 0.1222 0.1222 0.6335
Be3 0.1222 0.6335 0.1222
Be4 0.6335 0.1222 0.1222
Fe1 0.7500 0.7500 0.7500
Pb1 0.5000 0.5000 0.5000
```

Summary:
- DFT formation energy: 299.1 meV/atom
- N(E_F): 1.07 states/eV per cell
- Space group: No. 216

***

## Li2SiRh (PBE)

Data for Li2SiRh after structural relaxation.

Structure (CIF):
```
data_Li2SiRh
_cell_length_a 2.5829
_cell_length_b 2.5829
_cell_length_c 8.2463
_cell_angle_alpha 90.00
_cell_angle_beta 90.00
_cell_angle_gamma 90.00
_space_group_name_H-M_alt 'P 1'
_space_group_IT_number 1
loop_
_space_group_symop_operation_xyz
'x,y,z'
loop_
_atom_site_label
_atom_site_fract_x
_atom_site_fract_y
_atom_site_fract_z
Li1 0.0000 0.0000 0.2487
Li2 0.0000 0.0000 0.7513
Si1 0.5000 0.5000 0.5000
Rh1 0.5000 0.5000 0.0000
```

Summary:
- N(E_F): 3.07 states/eV per cell
- Raw formation energy: -107.0 meV per atom
- Space group: No. 123